Entry 1:
# RbNiC3, optimized geometry, DFT PBE-GGA
data_RbNiC3
_cell_length_a 4.372
_cell_length_b 4.372
_cell_length_c 4.372
_cell_angle_alpha 90.00
_cell_angle_beta 90.00
_cell_angle_gamma 90.00
_symmetry_space_group_name_H-M 'P 1'
_symmetry_Int_Tables_number 1
loop_
_symmetry_equiv_pos_as_xyz
'x,y,z'
loop_
_atom_site_label
_atom_site_fract_x
_atom_site_fract_y
_atom_site_fract_z
Ni1 0.500 0.500 0.500
C1 0.000 0.500 0.000
C2 0.000 0.000 0.500
C3 0.500 0.000 0.000
Rb1 0.000 0.000 0.000
# spin magnetization = 0.00 μB/atom
# distance to the lowest polymorph of the same formula = 2128 meV/atom
# total DFT energy (no corrections) = -2.23 eV per atom
# DOS(E_F) = 0.780 states/eV/atom
# E_form = 4.651 eV/atom

=====

Entry 2:
# RbNiC, optimized geometry, DFT PBE-GGA
data_RbNiC
_cell_length_a 2.827
_cell_length_b 5.369
_cell_length_c 19.723
_cell_angle_alpha 90.00
_cell_angle_beta 90.00
_cell_angle_gamma 90.00
_symmetry_space_group_name_H-M 'P 1'
_symmetry_Int_Tables_number 1
loop_
_symmetry_equiv_pos_as_xyz
'x,y,z'
loop_
_atom_site_label
_atom_site_fract_x
_atom_site_fract_y
_atom_site_fract_z
Rb1 0.750 0.279 0.641
Rb2 0.250 0.779 0.859
Rb3 0.250 0.721 0.359
Rb4 0.750 0.221 0.141
C1 0.750 0.048 0.496
C2 0.250 0.548 0.004
C3 0.250 0.952 0.504
C4 0.750 0.452 0.996
Ni1 0.750 0.684 0.507
Ni2 0.250 0.184 0.993
Ni3 0.250 0.316 0.493
Ni4 0.750 0.816 0.007
# spin magnetization = 0.00 μB/atom
# total DFT energy (no corrections) = -4.55 eV per atom
# DOS(E_F) = 0.445 states/eV/atom
# E_form = 0.772 eV/atom